Entry 1:
VASP calculation (PBE) on a relaxed Zr2URh crystal.

Properties
The calculation puts the total energy at -35.643 eV/cell. For the total magnetization, the calculation gives 0.48 μB per atom.

Cell lengths 4.8099, 4.8099, 4.8099 Å; angles 60.00, 60.00, 60.00 degrees
Last column: nearest neighbours and their distance in Å.
Element x y z (fractional)
Rh1 0.0000 0.0000 0.0000  8 Zr 2.95
U1 0.5000 0.5000 0.5000  8 Zr 2.95
Zr1 0.2500 0.2500 0.2500  4 Rh 2.95, 4 U 2.95
Zr2 0.7500 0.7500 0.7500  4 U 2.95, 4 Rh 2.95



Entry 2:
VASP calculation (PBE) on a relaxed V3Rh crystal.

Properties
The calculation puts the total energy at -35.730 eV/cell. For the total magnetization, the calculation gives 0.00 μB per atom.

Cell lengths 2.9700, 4.2868, 4.9746 Å; angles 115.52, 107.37, 90.00 degrees
Last column: nearest neighbours and their distance in Å.
Element x y z (fractional)
Rh1 0.0000 0.9167 0.0000  8 V 2.61-2.63
V1 0.2438 0.6605 0.4877  6 V 2.54-2.61, 2 Rh 2.63
V2 0.5000 0.4167 0.0000  4 V 2.54, 4 Rh 2.61
V3 0.7562 0.1728 0.5123  6 V 2.54-2.61, 2 Rh 2.63



Entry 3:
VASP calculation (PBE) on a relaxed V2Rh5 crystal.

Properties
The calculation puts the total energy at -113.994 eV/cell. For the total magnetization, the calculation gives 0.00 μB per atom.

Cell lengths 5.4083, 6.1165, 7.2875 Å; angles 114.81, 111.78, 90.00 degrees
Last column: nearest neighbours and their distance in Å.
Element x y z (fractional)
V1 0.3778 0.6461 0.7556  8 Rh 2.41-2.66
V2 0.6222 0.3539 0.2444  8 Rh 2.41-2.66
V3 0.8778 0.1095 0.7556  8 Rh 2.41-2.66
V4 0.1222 0.8905 0.2444  8 Rh 2.41-2.66
Rh1 0.0862 0.2418 0.1724  2 V 2.41-2.56
Rh2 0.9138 0.7582 0.8276  2 V 2.41-2.56
Rh3 0.5862 0.9306 0.1724  2 V 2.41-2.56
Rh4 0.4138 0.0694 0.8276  2 V 2.41-2.56
Rh5 0.4783 0.7283 0.4566  4 V 2.48-2.66, 3 Rh 2.70-2.76
Rh6 0.0217 0.2717 0.5434  4 V 2.48-2.66, 3 Rh 2.70-2.76
Rh7 0.5217 0.2717 0.5434  4 V 2.48-2.66, 3 Rh 2.70-2.76
Rh8 0.9783 0.7283 0.4566  4 V 2.48-2.66, 3 Rh 2.70-2.76
Rh9 0.7500 0.5000 0.0000  4 V 2.59, 8 Rh 2.70-2.76
Rh10 0.2500 0.5000 0.0000  4 V 2.59, 8 Rh 2.70-2.76



Entry 4:
VASP calculation (PBE) on a relaxed V3Rh8 crystal.

Properties
The calculation puts the total energy at -83.457 eV/cell. For the total magnetization, the calculation gives 0.00 μB per atom.

Cell lengths 5.5465, 5.5465, 5.5465 Å; angles 89.02, 89.02, 89.02 degrees
Last column: nearest neighbours and their distance in Å.
Element x y z (fractional)
V1 0.5000 0.0000 0.5000  6 Rh 2.28-2.47
V2 0.0000 0.5000 0.5000  6 Rh 2.28-2.47
V3 0.5000 0.5000 0.0000  6 Rh 2.28-2.47
Rh1 0.8855 0.3201 0.1363  2 V 2.37-2.47
Rh2 0.3201 0.1363 0.8855  2 V 2.37-2.47
Rh3 0.1363 0.8855 0.3201  2 V 2.37-2.47
Rh4 0.3718 0.3718 0.3718  3 V 2.28, 1 Rh 2.50
Rh5 0.6282 0.6282 0.6282  3 V 2.28, 1 Rh 2.50
Rh6 0.8637 0.1145 0.6799  2 V 2.37-2.47
Rh7 0.6799 0.8637 0.1145  2 V 2.37-2.47
Rh8 0.1145 0.6799 0.8637  2 V 2.37-2.47



Entry 5:
VASP calculation (PBE) on a relaxed V2Rh13 crystal.

Properties
The calculation puts the total energy at -113.297 eV/cell. For the total magnetization, the calculation gives 0.00 μB per atom.

Cell lengths 7.5924, 5.4111, 6.2408 Å; angles 120.45, 90.23, 89.11 degrees
Last column: nearest neighbours and their distance in Å.
Element x y z (fractional)
V1 0.6406 0.9040 0.6269  8 Rh 2.48-2.72
V2 0.3594 0.0960 0.3731  8 Rh 2.48-2.72
Rh1 0.3934 0.2904 0.8511  2 V 2.60-2.63, 9 Rh 2.61-2.86
Rh2 0.6066 0.7096 0.1489  2 V 2.60-2.63, 9 Rh 2.61-2.86
Rh3 0.0000 0.0000 0.0000  6 Rh 2.54-2.84
Rh4 0.1331 0.9521 0.6080  10 Rh 2.54-2.81, 1 V 2.63
Rh5 0.8669 0.0479 0.3920  10 Rh 2.54-2.81, 1 V 2.63
Rh6 0.1205 0.4497 0.6258  1 V 2.51, 8 Rh 2.63-2.78
Rh7 0.8795 0.5503 0.3742  1 V 2.51, 8 Rh 2.63-2.78
Rh8 0.3758 0.5525 0.3717  2 V 2.48-2.69, 6 Rh 2.60-2.74
Rh9 0.6242 0.4475 0.6283  2 V 2.48-2.69, 6 Rh 2.60-2.74
Rh10 0.3638 0.8278 0.8945  2 V 2.58-2.85, 10 Rh 2.65-2.87
Rh11 0.6362 0.1722 0.1055  2 V 2.58-2.85, 10 Rh 2.65-2.87
Rh12 0.8652 0.3485 0.8726  9 Rh 2.59-2.79, 1 V 2.72
Rh13 0.1348 0.6515 0.1274  9 Rh 2.59-2.79, 1 V 2.72



Entry 6:
VASP calculation (PBE) on a relaxed V3Rh2 crystal.

Properties
The calculation puts the total energy at -170.453 eV/cell. For the total magnetization, the calculation gives 0.00 μB per atom.

Cell lengths 2.7150, 10.9697, 9.5250 Å; angles 90.00, 90.00, 90.00 degrees
Last column: nearest neighbours and their distance in Å.
Element x y z (fractional)
V1 0.2500 0.6207 0.5664  5 Rh 2.51-2.61, 2 V 2.71
V2 0.2500 0.8793 0.0664  5 Rh 2.51-2.61, 2 V 2.71
V3 0.7500 0.3793 0.4336  5 Rh 2.51-2.61, 2 V 2.71
V4 0.7500 0.1207 0.9336  5 Rh 2.51-2.61, 2 V 2.71
V5 0.7500 0.0529 0.6158  4 V 2.49-2.71, 5 Rh 2.53-2.69
V6 0.7500 0.4471 0.1158  4 V 2.49-2.71, 5 Rh 2.53-2.69
V7 0.2500 0.9471 0.3842  4 V 2.49-2.71, 5 Rh 2.53-2.69
V8 0.2500 0.5529 0.8842  4 V 2.49-2.71, 5 Rh 2.53-2.69
V9 0.2500 0.2348 0.6815  4 Rh 2.45-2.68, 4 V 2.49-2.71
V10 0.2500 0.2652 0.1815  4 Rh 2.45-2.68, 4 V 2.49-2.71
V11 0.7500 0.7652 0.3185  4 Rh 2.45-2.68, 4 V 2.49-2.71
V12 0.7500 0.7348 0.8185  4 Rh 2.45-2.68, 4 V 2.49-2.71
Rh1 0.2500 0.1763 0.4179  7 V 2.45-2.69, 2 Rh 2.71
Rh2 0.2500 0.3237 0.9179  7 V 2.45-2.69, 2 Rh 2.71
Rh3 0.7500 0.8237 0.5821  7 V 2.45-2.69, 2 Rh 2.71
Rh4 0.7500 0.6763 0.0821  7 V 2.45-2.69, 2 Rh 2.71
Rh5 0.7500 0.4459 0.6853  7 V 2.51-2.68, 2 Rh 2.71
Rh6 0.7500 0.0541 0.1853  7 V 2.51-2.68, 2 Rh 2.71
Rh7 0.2500 0.5541 0.3147  7 V 2.51-2.68, 2 Rh 2.71
Rh8 0.2500 0.9459 0.8147  7 V 2.51-2.68, 2 Rh 2.71



Entry 7:
VASP calculation (PBE) on a relaxed V2Rh3 crystal.

Properties
The calculation puts the total energy at -42.045 eV/cell. For the total magnetization, the calculation gives 0.00 μB per atom.

Cell lengths 2.7477, 3.6059, 7.3679 Å; angles 104.16, 100.75, 90.00 degrees
Last column: nearest neighbours and their distance in Å.
Element x y z (fractional)
V1 0.3946 0.3946 0.7891  9 Rh 2.58-2.82, 2 V 2.75
V2 0.6054 0.6054 0.2109  9 Rh 2.58-2.82, 2 V 2.75
Rh1 0.1936 0.1936 0.3871  5 V 2.58-2.82, 7 Rh 2.71-2.76
Rh2 0.8064 0.8064 0.6129  5 V 2.58-2.82, 7 Rh 2.71-2.76
Rh3 0.0000 0.0000 0.0000  8 V 2.71, 4 Rh 2.71-2.75



Entry 8:
VASP calculation (PBE) on a relaxed VRh5 crystal.

Properties
The calculation puts the total energy at -90.969 eV/cell. For the total magnetization, the calculation gives 0.00 μB per atom.

Cell lengths 4.7740, 4.7740, 7.7754 Å; angles 90.00, 90.00, 90.00 degrees
Last column: nearest neighbours and their distance in Å.
Element x y z (fractional)
V1 0.5000 0.0000 0.9083  6 Rh 2.42-2.49
V2 0.0000 0.5000 0.0917  6 Rh 2.42-2.49
Rh1 0.3030 0.8030 0.2591  1 V 2.42, 8 Rh 2.64-2.69
Rh2 0.8030 0.6970 0.7409  1 V 2.42, 8 Rh 2.64-2.69
Rh3 0.1970 0.3030 0.7409  1 V 2.42, 8 Rh 2.64-2.69
Rh4 0.6970 0.1970 0.2591  1 V 2.42, 8 Rh 2.64-2.69
Rh5 0.3006 0.8006 0.5981  10 Rh 2.64-2.87, 1 V 2.76
Rh6 0.8006 0.6994 0.4019  10 Rh 2.64-2.87, 1 V 2.76
Rh7 0.1994 0.3006 0.4019  10 Rh 2.64-2.87, 1 V 2.76
Rh8 0.6994 0.1994 0.5981  10 Rh 2.64-2.87, 1 V 2.76
Rh9 0.5000 0.5000 0.0000  4 V 2.49, 4 Rh 2.65
Rh10 0.0000 0.0000 0.0000  4 V 2.49, 4 Rh 2.65